Model i:
The following is a DFT calculation (PBE) of a geometry-optimized Mg2CuOs structure.

Summary:
- Size of the total moment: 0.000 μB/cell
- SG: Pmm2 (25)

abc: 4.626 2.721 4.949
angles: 90.02 90.00 90.00
Sites, in units of the cell vectors:
Cu 0.500 0.625 0.779
Mg 0.000 0.125 0.952
Mg 0.500 0.125 0.307
Os 0.000 0.625 0.462

Model ii:
The following is a DFT calculation (PBE) of a geometry-optimized Mg2CuOs structure.

Summary:
- Size of the total moment: 0.271 μB/cell
- SG: F-43m (216)

abc: 4.428 4.428 4.428
angles: 60.00 60.00 60.00
Last column: magnetic moment on the atom in μB.
Sites, in units of the cell vectors:
Mg 0.250 0.250 0.250  0.00
Mg 0.000 0.000 0.000  0.00
Cu 0.500 0.500 0.500  0.03
Os 0.750 0.750 0.750  0.20

Model iii:
The following is a DFT calculation (PBE) of a geometry-optimized Mg2CuOs structure.

Summary:
- Size of the total moment: 0.000 μB/cell
- SG: R-3m (166)

abc: 9.065 9.065 9.065
angles: 17.99 17.99 17.99
Sites, in units of the cell vectors:
Os 0.750 0.750 0.750
Mg 0.501 0.501 0.501
Mg 0.999 0.999 0.999
Cu 0.250 0.250 0.250

What are the relative energies? In kJ/mol of atoms: model i 0.0; model ii 13.1; model iii 1.2.

Model i:
The following is a DFT calculation (PBE) of a geometry-optimized Mg2CuOs structure.

Summary:
- Size of the total moment: 0.464 μB/cell
- SG: I-4m2 (119)

abc: 4.898 4.898 4.898
angles: 133.11 133.11 68.48
Last column: magnetic moment on the atom in μB.
Sites, in units of the cell vectors:
Mg 0.250 0.750 0.500  0.00
Mg 0.000 0.000 0.000  -0.01
Cu 0.750 0.250 0.500  0.02
Os 0.500 0.500 0.000  0.40

Model ii:
The following is a DFT calculation (PBE) of a geometry-optimized Mg2CuOs structure.

Summary:
- Size of the total moment: 0.000 μB/cell
- SG: P4mm (99)

abc: 3.014 3.014 7.266
angles: 90.00 90.00 90.00
Sites, in units of the cell vectors:
Cu 0.500 0.500 0.728
Os 0.000 0.000 0.531
Mg 0.500 0.500 0.290
Mg 0.000 0.000 0.951

What are the relative energies? In kJ/mol of atoms: model i 0.0; model ii 1.5.

Model i:
The following is a DFT calculation (PBE) of a geometry-optimized Mg2Cu2Os structure.

Summary:
- Size of the total moment: 0.000 μB/cell
- SG: I4/mmm (139)

abc: 3.783 3.783 6.041
angles: 71.75 71.75 90.00
Sites, in units of the cell vectors:
Cu 0.401 0.401 0.199
Cu 0.599 0.599 0.801
Os 0.000 0.000 0.000
Mg 0.250 0.750 0.500
Mg 0.750 0.250 0.500

Model ii:
The following is a DFT calculation (PBE) of a geometry-optimized Mg2Cu2Os structure.

Summary:
- Size of the total moment: 0.000 μB/cell
- SG: P4/mbm (127)

abc: 7.250 7.250 2.773
angles: 90.00 90.00 90.00
Sites, in units of the cell vectors:
Mg 0.178 0.678 0.500
Mg 0.678 0.822 0.500
Mg 0.822 0.322 0.500
Mg 0.322 0.178 0.500
Cu 0.620 0.120 0.000
Cu 0.880 0.620 0.000
Cu 0.120 0.380 0.000
Cu 0.380 0.880 0.000
Os 0.500 0.500 0.000
Os 0.000 0.000 0.000

What are the relative energies? In kJ/mol of atoms: model i 47.3; model ii 0.0.

Model i:
The following is a DFT calculation (PBE) of a geometry-optimized Mg2CuP2 structure.

Summary:
- Size of the total moment: 0.000 μB/cell
- SG: P4/mbm (127)

abc: 6.305 6.305 4.078
angles: 90.00 90.00 90.00
Sites, in units of the cell vectors:
P 0.627 0.127 0.000
P 0.373 0.873 0.000
P 0.127 0.373 0.000
P 0.873 0.627 0.000
Mg 0.315 0.185 0.500
Mg 0.685 0.815 0.500
Mg 0.185 0.685 0.500
Mg 0.815 0.315 0.500
Cu 0.000 0.000 0.000
Cu 0.500 0.500 0.000

Model ii:
The following is a DFT calculation (PBE) of a geometry-optimized Mg2CuP2 structure.

Summary:
- Size of the total moment: 0.000 μB/cell
- SG: P4/mbm (127)

abc: 7.615 7.615 2.958
angles: 90.00 90.00 90.00
Sites, in units of the cell vectors:
Cu 0.000 0.000 0.000
Cu 0.500 0.500 0.000
Mg 0.639 0.139 0.000
Mg 0.361 0.861 0.000
Mg 0.861 0.639 0.000
Mg 0.139 0.361 0.000
P 0.164 0.664 0.500
P 0.664 0.836 0.500
P 0.336 0.164 0.500
P 0.836 0.336 0.500

What are the relative energies? In kJ/mol of atoms: model i 0.0; model ii 25.5.

Model i:
The following is a DFT calculation (PBE) of a geometry-optimized Mg3CuP structure.

Summary:
- Size of the total moment: 0.000 μB/cell
- SG: Pm-3m (221)

abc: 4.780 4.780 4.780
angles: 90.00 90.00 90.00
Sites, in units of the cell vectors:
Mg 0.000 0.500 0.000
Mg 0.000 0.000 0.500
Mg 0.500 0.000 0.000
P 0.500 0.500 0.500
Cu 0.000 0.000 0.000

Model ii:
The following is a DFT calculation (PBE) of a geometry-optimized Mg3CuP structure.

Summary:
- Size of the total moment: 0.000 μB/cell
- SG: Pm-3m (221)

abc: 4.850 4.850 4.850
angles: 90.00 90.00 90.00
Sites, in units of the cell vectors:
Cu 0.500 0.500 0.500
Mg 0.500 0.000 0.000
Mg 0.000 0.000 0.500
Mg 0.000 0.500 0.000
P 0.000 0.000 0.000

What are the relative energies? In kJ/mol of atoms: model i 15.2; model ii 0.0.

Model i:
The following is a DFT calculation (PBE) of a geometry-optimized MgCu3P structure.

Summary:
- Size of the total moment: 0.000 μB/cell
- SG: Pm-3m (221)

abc: 4.368 4.368 4.368
angles: 90.00 90.00 90.00
Sites, in units of the cell vectors:
Cu 0.000 0.000 0.500
Cu 0.000 0.500 0.000
Cu 0.500 0.000 0.000
P 0.000 0.000 0.000
Mg 0.500 0.500 0.500

Model ii:
The following is a DFT calculation (PBE) of a geometry-optimized MgCu3P structure.

Summary:
- Size of the total moment: 0.000 μB/cell
- SG: Pm-3m (221)

abc: 4.496 4.496 4.496
angles: 90.00 90.00 90.00
Sites, in units of the cell vectors:
Cu 0.500 0.000 0.000
Cu 0.000 0.000 0.500
Cu 0.000 0.500 0.000
P 0.500 0.500 0.500
Mg 0.000 0.000 0.000

What are the relative energies? In kJ/mol of atoms: model i 0.0; model ii 99.3.

Model i:
The following is a DFT calculation (PBE) of a geometry-optimized MgCuPS2 structure.

Summary:
- Size of the total moment: 0.000 μB/cell
- SG: P4/mmm (123)

abc: 4.781 4.781 4.239
angles: 90.00 90.00 90.00
Sites, in units of the cell vectors:
Cu 0.000 0.000 0.000
S 0.000 0.500 0.000
S 0.500 0.000 0.000
P 0.000 0.000 0.500
Mg 0.500 0.500 0.500

Model ii:
The following is a DFT calculation (PBE) of a geometry-optimized MgCuPS2 structure.

Summary:
- Size of the total moment: 0.000 μB/cell
- SG: P4/mmm (123)

abc: 4.754 4.754 4.787
angles: 90.00 90.00 90.00
Sites, in units of the cell vectors:
S 0.500 0.000 0.000
S 0.000 0.500 0.000
Cu 0.500 0.500 0.500
Mg 0.000 0.000 0.000
P 0.000 0.000 0.500

What are the relative energies? In kJ/mol of atoms: model i 0.0; model ii 45.4.

Model i:
The following is a DFT calculation (PBE) of a geometry-optimized MgZnCuP structure.

Summary:
- Size of the total moment: 0.000 μB/cell
- SG: P1 (1)

abc: 3.739 3.829 4.885
angles: 89.83 67.62 89.97
Sites, in units of the cell vectors:
Mg 0.768 0.651 0.359
P 0.051 0.648 0.793
Cu 0.190 0.149 0.519
Zn 0.469 0.154 0.965

Model ii:
The following is a DFT calculation (PBE) of a geometry-optimized MgZnCuP structure.

Summary:
- Size of the total moment: 0.000 μB/cell
- SG: Amm2 (38)

abc: 2.919 3.922 11.203
angles: 90.00 90.00 90.00
Sites, in units of the cell vectors:
Zn 0.000 0.500 0.646
Zn 0.000 0.000 0.146
Mg 0.500 0.000 0.478
Mg 0.500 0.500 0.978
P 0.000 0.500 0.392
P 0.000 0.000 0.892
Cu 0.500 0.000 0.724
Cu 0.500 0.500 0.224

Model iii:
The following is a DFT calculation (PBE) of a geometry-optimized MgZnCuP structure.

Summary:
- Size of the total moment: 0.000 μB/cell
- SG: Cm (8)

abc: 5.392 3.959 6.920
angles: 90.00 116.14 90.00
Sites, in units of the cell vectors:
P 0.487 0.500 0.189
P 0.487 0.000 0.689
Zn 0.077 0.500 0.388
Zn 0.077 0.000 0.888
Cu 0.320 0.000 0.301
Cu 0.320 0.500 0.801
Mg 0.740 0.000 0.107
Mg 0.740 0.500 0.607

Model iv:
The following is a DFT calculation (PBE) of a geometry-optimized MgZnCuP structure.

Summary:
- Size of the total moment: 0.000 μB/cell
- SG: Pm (6)

abc: 4.051 2.888 6.064
angles: 90.00 109.36 90.00
Sites, in units of the cell vectors:
Mg 0.552 0.500 0.510
P 0.123 0.000 0.653
Cu 0.330 0.000 0.059
Zn 0.870 0.500 0.142

What are the relative energies? In kJ/mol of atoms: model i 0.0; model ii 3.2; model iii 5.2; model iv 10.6.

Model i:
The following is a DFT calculation (PBE) of a geometry-optimized MgZnCuP structure.

Summary:
- Size of the total moment: 0.000 μB/cell
- SG: P3m1 (156)

abc: 4.027 4.027 4.782
angles: 90.00 90.00 120.00
Sites, in units of the cell vectors:
P 0.667 0.333 0.968
Mg 0.000 0.000 0.213
Zn 0.333 0.667 0.706
Cu 0.667 0.333 0.478

Model ii:
The following is a DFT calculation (PBE) of a geometry-optimized MgZnCuP structure.

Summary:
- Size of the total moment: 0.000 μB/cell
- SG: Pm (6)

abc: 3.707 3.691 5.018
angles: 90.00 111.79 90.00
Sites, in units of the cell vectors:
Cu 0.616 0.500 0.764
P 0.764 0.000 0.062
Mg 0.334 0.500 0.201
Zn 0.035 0.000 0.609

What are the relative energies? In kJ/mol of atoms: model i 0.0; model ii 1.0.

Model i:
The following is a DFT calculation (PBE) of a geometry-optimized MgCu2Pb2 structure.

Summary:
- Size of the total moment: 0.000 μB/cell
- SG: I4/mmm (139)

abc: 3.513 3.513 9.136
angles: 78.91 78.91 90.00
Sites, in units of the cell vectors:
Mg 0.000 0.000 0.000
Cu 0.750 0.250 0.500
Cu 0.250 0.750 0.500
Pb 0.381 0.381 0.238
Pb 0.619 0.619 0.762

Model ii:
The following is a DFT calculation (PBE) of a geometry-optimized MgCu2Pb2 structure.

Summary:
- Size of the total moment: 0.000 μB/cell
- SG: P4/mbm (127)

abc: 8.063 8.063 3.405
angles: 90.00 90.00 90.00
Sites, in units of the cell vectors:
Pb 0.828 0.672 0.000
Pb 0.172 0.328 0.000
Pb 0.328 0.828 0.000
Pb 0.672 0.172 0.000
Mg 0.000 0.000 0.000
Mg 0.500 0.500 0.000
Cu 0.383 0.117 0.500
Cu 0.617 0.883 0.500
Cu 0.883 0.383 0.500
Cu 0.117 0.617 0.500

What are the relative energies? In kJ/mol of atoms: model i 0.0; model ii 13.3.

Model i:
The following is a DFT calculation (PBE) of a geometry-optimized Mg4CuPb structure.

Summary:
- Size of the total moment: 0.000 μB/cell
- SG: F-43m (216)

abc: 5.787 5.787 5.787
angles: 60.00 60.00 60.00
Sites, in units of the cell vectors:
Mg 0.374 0.374 0.374
Mg 0.374 0.877 0.374
Mg 0.877 0.374 0.374
Mg 0.374 0.374 0.877
Pb 0.750 0.750 0.750
Cu 0.000 0.000 0.000

Model ii:
The following is a DFT calculation (PBE) of a geometry-optimized Mg4CuPb structure.

Summary:
- Size of the total moment: 0.000 μB/cell
- SG: C2/c (15)

abc: 5.439 8.308 7.444
angles: 115.54 99.86 110.35
Sites, in units of the cell vectors:
Mg 0.269 0.634 0.821
Mg 0.625 0.068 0.349
Mg 0.731 0.366 0.179
Mg 0.224 0.281 0.349
Mg 0.375 0.932 0.651
Mg 0.776 0.719 0.651
Mg 0.051 0.187 0.821
Mg 0.949 0.813 0.179
Pb 0.632 0.382 0.765
Pb 0.368 0.618 0.235
Cu 0.249 0.999 0.998
Cu 0.751 0.001 0.002

What are the relative energies? In kJ/mol of atoms: model i 26.7; model ii 0.0.

Model i:
The following is a DFT calculation (PBE) of a geometry-optimized MgCu2Pd4 structure.

Summary:
- Size of the total moment: 0.000 μB/cell
- SG: I4/mmm (139)

abc: 5.233 5.233 5.233
angles: 113.40 107.55 107.55
Sites, in units of the cell vectors:
Pd 0.500 0.500 0.500
Pd 0.000 0.500 0.000
Pd 0.000 0.000 0.500
Pd 0.500 0.000 0.000
Cu 0.500 0.500 0.000
Cu 0.500 0.000 0.500
Mg 0.000 0.000 0.000

Model ii:
The following is a DFT calculation (PBE) of a geometry-optimized MgCu2Pd4 structure.

Summary:
- Size of the total moment: 0.000 μB/cell
- SG: I4/mmm (139)

abc: 5.261 5.261 5.261
angles: 103.89 103.89 121.33
Sites, in units of the cell vectors:
Pd 0.208 0.207 0.415
Pd 0.792 0.793 0.585
Pd 0.207 0.792 0.000
Pd 0.793 0.208 0.000
Mg 0.500 0.500 0.000
Cu 0.750 0.250 0.500
Cu 0.250 0.750 0.500

What are the relative energies? In kJ/mol of atoms: model i 5.2; model ii 0.0.